A geometry-optimized KVHO3 structure, computed with GGA+U.

Output
Theoretical density   2.113 Mg/m³
E_tot   -5.9823 eV per atom

Lattice parameters (Å, degrees): 7.168 7.168 5.419 74.27 74.27 55.54
Positions (direct):
O 0.713 0.165 0.365
V 0.081 0.081 0.777
K 0.681 0.681 0.810
O 0.835 0.287 0.635
O 0.809 0.809 0.115
H 0.769 0.231 0.500
V 0.919 0.919 0.223
O 0.191 0.191 0.885
O 0.165 0.713 0.365
K 0.319 0.319 0.190
O 0.287 0.835 0.635
H 0.231 0.769 0.500